The following is a PBE calculation of K3AgAu2 after structural relaxation, from Alexandria.

a b c (Å): 8.866 10.344 10.102
angles (deg): 90.00 117.59 90.00
Positions (direct):
Au (0.578, 0.375, 0.526)
K (0.997, 0.676, 0.247)
K (0.400, 0.522, 0.158)
K (0.100, 0.022, 0.342)
Au (0.422, 0.625, 0.474)
Ag (0.490, 0.882, 0.418)
K (0.600, 0.478, 0.842)
Au (0.213, 0.609, 0.781)
Au (0.922, 0.875, 0.974)
K (0.503, 0.176, 0.253)
K (0.306, 0.870, 0.017)
Au (0.713, 0.891, 0.281)
Ag (0.990, 0.618, 0.918)
Au (0.078, 0.125, 0.026)
K (0.497, 0.824, 0.747)
K (0.694, 0.130, 0.983)
K (0.194, 0.370, 0.483)
K (0.003, 0.324, 0.753)
Au (0.787, 0.391, 0.219)
Ag (0.510, 0.118, 0.582)
K (0.806, 0.630, 0.517)
Ag (0.010, 0.382, 0.082)
Au (0.287, 0.109, 0.719)
K (0.900, 0.978, 0.658)

Calculated values
Energy of formation   -0.16 eV per atom
Uncorrected energy   -2.274 eV/atom
Magnetization   0.0 μB per formula unit
Space group   P2_1/c